Entry 1:
This record from Alexandria describes an optimized crystal structure of Ag2IrPbBr8. The functional is GGA-PBE.

```
12
Lattice="-5.117 4.367 1.386 -1.249 -7.317 -2.692 -0.294 -2.830 7.828" Properties=species:S:1:pos:R:3 pbc="T T T"
Ag -3.402 -3.582 5.174
Ag -3.258 -2.198 1.348
Br -5.486 0.405 6.964
Br -3.170 -1.132 3.903
Br -1.347 -7.841 4.139
Br -1.175 -6.185 -0.442
Br -3.491 -4.647 2.620
Br -4.183 -5.951 6.553
Br -5.314 2.061 2.383
Br -2.477 0.172 -0.031
Pb -0.147 -1.415 3.914
Ir 0.000 0.000 0.000
```

Summary:
formation energy from raw total energies: -0.42 eV/atom
magnetic moment: 0.0 μB per formula unit

***

Entry 2:
This record from Alexandria describes an optimized crystal structure of CaTbCdPt. The functional is GGA-PBE.

```
4
Lattice="-4.942 -1.104 0.666 -1.363 -4.474 2.052 -1.970 -0.155 4.710" Properties=species:S:1:pos:R:3 pbc="T T T"
Ca -4.138 -2.867 3.714
Tb 0.000 0.000 0.000
Cd -2.069 -1.433 1.857
Pt -6.207 -4.300 5.571
```

Summary:
magnetic moment: 0.0 μB per formula unit
E_form: -0.66 eV per atom

***

Entry 3:
This record from Alexandria describes an optimized crystal structure of Tb2PrErS6. The functional is GGA-PBE.

```
10
Lattice="-1.358 -6.702 1.504 3.691 -3.294 4.955 -3.353 -1.538 6.424" Properties=species:S:1:pos:R:3 pbc="T T T"
S -0.409 -6.185 8.977
S -2.998 -6.404 6.565
S 0.175 -8.562 6.000
S -0.841 -5.203 3.605
S -1.230 -3.362 6.996
S 2.267 -4.896 6.483
Tb -0.274 -5.870 6.198
Tb -3.173 -1.616 6.238
Pr -0.027 -8.970 8.900
Er 0.572 -3.243 2.365
```

Summary:
formation energy from raw total energies: -2.04 eV/atom
magnetic moment: 0.0 μB per formula unit

***

Entry 4:
This record from Alexandria describes an optimized crystal structure of NaAcSn. The functional is GGA-PBE.

```
3
Lattice="3.921 0.000 0.000 0.000 3.921 0.000 -1.961 -1.961 6.643" Properties=species:S:1:pos:R:3 pbc="T T T"
Na 0.000 0.000 0.364
Sn 1.961 1.961 2.072
Ac 0.000 0.000 4.208
```

Summary:
magnetic moment: 0.0 μB per formula unit
E_form: -0.19 eV per atom